[1]
Entry from Alexandria via LeMat-Bulk: UMn2 after structural relaxation (PBE).

Summary:
size of the total moment = 0.000 μB/atom
calculated formation energy = -0.04 eV per atom
Fermi-level density of states = 20.9 states/eV per cell
raw total energy = -29.7 eV per formula unit

a = 4.399 Å, b = 5.246 Å, c = 7.416 Å
α = 90.00°, β = 90.00°, γ = 90.00°
Space group Imma (No. 74)
Inequivalent atoms, fractional coordinates:
U  0.000  0.250  0.135 [4 per cell]
Mn  0.000  0.000  0.500 [4 per cell]
Mn  0.250  0.250  0.750 [4 per cell]

=====

[2]
Entry from Alexandria via LeMat-Bulk: Cr2PSe after structural relaxation (PBE).

Summary:
size of the total moment = 1.676 μB/atom
raw formation energy = 2.83 kcal/mol of atoms
Fermi-level density of states = 4.8 states/eV per cell
distance to the lowest polymorph of the same formula = 0.366 eV/atom
raw total energy = -27.6 eV per formula unit

a = 3.891 Å, b = 5.066 Å, c = 6.613 Å
α = 90.00°, β = 90.00°, γ = 90.00°
Space group Immm (No. 71)
Inequivalent atoms, fractional coordinates:
Cr  0.000  0.000  0.223 [4 per cell]
P  0.000  0.500  0.500 [2 per cell]
Se  0.000  0.500  0.000 [2 per cell]

=====

[3]
Entry from Alexandria via LeMat-Bulk: ZnFeBr2 after structural relaxation (PBE).

Summary:
size of the total moment = 0.809 μB/atom
raw formation energy = 6.90 kcal/mol of atoms
Fermi-level density of states = 6.8 states/eV per cell
distance to the lowest polymorph of the same formula = 0.397 eV/atom
raw total energy = -11.9 eV per formula unit

a = 3.799 Å, b = 3.799 Å, c = 13.922 Å
α = 90.00°, β = 90.00°, γ = 90.00°
Space group I-4m2 (No. 119)
Inequivalent atoms, fractional coordinates:
Zn  0.000  0.000  0.000 [2 per cell]
Fe  0.000  0.500  0.250 [2 per cell]
Br  0.000  0.000  0.500 [2 per cell]
Br  0.000  0.500  0.750 [2 per cell]

=====

[4]
Entry from Alexandria via LeMat-Bulk: Sr2YAg after structural relaxation (PBE).

Summary:
size of the total moment = 0.000 μB/atom
calculated formation energy = 0.03 eV per atom
Fermi-level density of states = 11.3 states/eV per cell
distance to the lowest polymorph of the same formula = 0.104 eV/atom
raw total energy = -12.6 eV per formula unit

a = 4.010 Å, b = 5.578 Å, c = 13.784 Å
α = 90.00°, β = 90.00°, γ = 90.00°
Space group Amm2 (No. 38)
Inequivalent atoms, fractional coordinates:
Sr  0.000  0.000  0.000 [2 per cell]
Sr  0.500  0.000  0.304 [2 per cell]
Y  0.000  0.000  0.691 [2 per cell]
Ag  0.500  0.000  0.535 [2 per cell]

=====

[5]
Entry from Alexandria via LeMat-Bulk: Zn7CuAu3 after structural relaxation (PBE).

Summary:
size of the total moment = 0.000 μB/atom
calculated formation energy = -0.04 eV per atom
Fermi-level density of states = 12.1 states/eV per cell
raw total energy = -23.3 eV per formula unit

a = 2.829 Å, b = 27.635 Å, c = 11.186 Å
α = 90.00°, β = 90.00°, γ = 90.00°
Space group Cmcm (No. 63)
Inequivalent atoms, fractional coordinates:
Zn  0.000  0.013  0.124 [8 per cell]
Zn  0.000  0.083  0.750 [4 per cell]
Zn  0.000  0.121  0.105 [8 per cell]
Zn  0.000  0.227  0.077 [8 per cell]
Cu  0.000  0.431  0.750 [4 per cell]
Au  0.000  0.317  0.750 [4 per cell]
Au  0.000  0.431  0.052 [8 per cell]

=====

[6]
Entry from Alexandria via LeMat-Bulk: Na2IrCN after structural relaxation (PBE).

Summary:
size of the total moment = 0.503 μB/atom
raw formation energy = 29.44 kcal/mol of atoms
Fermi-level density of states = 1.0 states/eV per cell
raw total energy = -22.7 eV per formula unit

a = 5.640 Å, b = 5.640 Å, c = 3.665 Å
α = 90.00°, β = 90.00°, γ = 90.00°
Space group P4/mmm (No. 123)
Inequivalent atoms, fractional coordinates:
Na  0.000  0.500  0.000 [2 per cell]
Ir  0.000  0.000  0.000 [1 per cell]
C  0.500  0.500  0.500 [1 per cell]
N  0.000  0.000  0.500 [1 per cell]

=====

[7]
Entry from Alexandria via LeMat-Bulk: GdScZnFe after structural relaxation (PBE).

Summary:
size of the total moment = 2.049 μB/atom
calculated formation energy = -0.08 eV per atom
Fermi-level density of states = 11.1 states/eV per cell
raw total energy = -30.5 eV per formula unit

a = 6.754 Å, b = 6.754 Å, c = 6.754 Å
α = 90.00°, β = 90.00°, γ = 90.00°
Space group F-43m (No. 216)
Inequivalent atoms, fractional coordinates:
Gd  0.000  0.000  0.000 [4 per cell]
Sc  0.000  0.000  0.500 [4 per cell]
Zn  0.250  0.250  0.750 [4 per cell]
Fe  0.250  0.250  0.250 [4 per cell]

=====

[8]
Entry from Alexandria via LeMat-Bulk: CsMgGe2 after structural relaxation (PBE).

Summary:
size of the total moment = 0.000 μB/atom
calculated formation energy = 0.11 eV per atom
Fermi-level density of states = 7.1 states/eV per cell
raw total energy = -11.2 eV per formula unit

a = 5.439 Å, b = 5.439 Å, c = 18.794 Å
α = 90.00°, β = 90.00°, γ = 90.00°
Space group I4_1/amd (No. 141, origin choice 2)
Inequivalent atoms, fractional coordinates:
Cs  0.000  0.250  0.375 [4 per cell]
Mg  0.000  0.250  0.875 [4 per cell]
Ge  0.000  0.000  0.000 [8 per cell]

=====

[9]
Entry from Alexandria via LeMat-Bulk: CaOsRu after structural relaxation (PBE).

Summary:
size of the total moment = 0.000 μB/atom
calculated formation energy = 0.34 eV per atom
Fermi-level density of states = 9.0 states/eV per cell
distance to the lowest polymorph of the same formula = 0.251 eV/atom
raw total energy = -21.5 eV per formula unit

a = 2.938 Å, b = 2.938 Å, c = 12.735 Å
α = 90.00°, β = 90.00°, γ = 90.00°
Space group I4mm (No. 107)
Inequivalent atoms, fractional coordinates:
Ca  0.000  0.000  0.000 [2 per cell]
Os  0.000  0.000  0.691 [2 per cell]
Ru  0.000  0.000  0.306 [2 per cell]

=====

[10]
Entry from Alexandria via LeMat-Bulk: InMoW2 after structural relaxation (PBE).

Summary:
size of the total moment = 0.000 μB/atom
calculated formation energy = 0.57 eV per atom
Fermi-level density of states = 5.9 states/eV per cell
raw total energy = -37.2 eV per formula unit

a = 2.837 Å, b = 2.837 Å, c = 8.628 Å
α = 90.00°, β = 90.00°, γ = 90.00°
Space group P4/mmm (No. 123)
Inequivalent atoms, fractional coordinates:
In  0.000  0.000  0.000 [1 per cell]
Mo  0.000  0.000  0.500 [1 per cell]
W  0.500  0.500  0.265 [2 per cell]

=====

[11]
Entry from Alexandria via LeMat-Bulk: KInW after structural relaxation (PBE).

Summary:
size of the total moment = 0.569 μB/atom
calculated formation energy = 1.03 eV per atom
Fermi-level density of states = 4.6 states/eV per cell
distance to the lowest polymorph of the same formula = 0.122 eV/atom
raw total energy = -13.7 eV per formula unit

a = 2.900 Å, b = 4.748 Å, c = 12.554 Å
α = 90.00°, β = 90.00°, γ = 90.00°
Space group Imm2 (No. 44)
Inequivalent atoms, fractional coordinates:
K  0.000  0.000  0.000 [2 per cell]
In  0.000  0.000  0.274 [2 per cell]
W  0.000  0.000  0.725 [2 per cell]

=====

[12]
Entry from Alexandria via LeMat-Bulk: Ba2CdHgAu6 after structural relaxation (PBE).

Summary:
size of the total moment = 0.000 μB/atom
calculated formation energy = -0.24 eV per atom
Fermi-level density of states = 13.6 states/eV per cell
raw total energy = -27.1 eV per formula unit

a = 10.645 Å, b = 10.645 Å, c = 10.645 Å
α = 90.00°, β = 90.00°, γ = 90.00°
Space group Fm-3m (No. 225)
Inequivalent atoms, fractional coordinates:
Ba  0.250  0.250  0.250 [8 per cell]
Cd  0.000  0.000  0.000 [4 per cell]
Hg  0.000  0.000  0.500 [4 per cell]
Au  0.000  0.000  0.248 [24 per cell]

=====

[13]
Entry from Alexandria via LeMat-Bulk: LiCa2Te after structural relaxation (PBE).

Summary:
size of the total moment = 0.000 μB/atom
raw formation energy = -14.19 kcal/mol of atoms
Fermi-level density of states = 2.8 states/eV per cell
raw total energy = -11.5 eV per formula unit

a = 4.300 Å, b = 4.300 Å, c = 6.727 Å
α = 90.00°, β = 90.00°, γ = 90.00°
Space group P4mm (No. 99)
Inequivalent atoms, fractional coordinates:
Li  0.000  0.000  0.000 [1 per cell]
Ca  0.000  0.000  0.482 [1 per cell]
Ca  0.500  0.500  0.811 [1 per cell]
Te  0.500  0.500  0.298 [1 per cell]

=====

[14]
Entry from Alexandria via LeMat-Bulk: PaVGaFe after structural relaxation (PBE).

Summary:
size of the total moment = 0.500 μB/atom
calculated formation energy = -0.09 eV per atom
Fermi-level density of states = 17.2 states/eV per cell
raw total energy = -30.5 eV per formula unit

a = 6.336 Å, b = 6.336 Å, c = 6.336 Å
α = 90.00°, β = 90.00°, γ = 90.00°
Space group F-43m (No. 216)
Inequivalent atoms, fractional coordinates:
Pa  0.000  0.000  0.000 [4 per cell]
V  0.250  0.250  0.250 [4 per cell]
Ga  0.000  0.000  0.500 [4 per cell]
Fe  0.250  0.250  0.750 [4 per cell]

=====

[15]
Entry from Alexandria via LeMat-Bulk: Ta3WS after structural relaxation (PBE).

Summary:
size of the total moment = 0.000 μB/atom
raw formation energy = 12.17 kcal/mol of atoms
Fermi-level density of states = 6.7 states/eV per cell
distance to the lowest polymorph of the same formula = 0.000 eV/atom
raw total energy = -50.0 eV per formula unit

a = 4.510 Å, b = 4.510 Å, c = 4.510 Å
α = 90.00°, β = 90.00°, γ = 90.00°
Space group Pm-3m (No. 221)
Inequivalent atoms, fractional coordinates:
Ta  0.000  0.000  0.500 [3 per cell]
W  0.500  0.500  0.500 [1 per cell]
S  0.000  0.000  0.000 [1 per cell]

=====

[16]
Entry from Alexandria via LeMat-Bulk: MnH2Br after structural relaxation (PBE).

Summary:
size of the total moment = 1.000 μB/atom
Fermi-level density of states = 2.7 states/eV per cell
distance to the lowest polymorph of the same formula = 0.000 eV/atom
raw total energy = -16.7 eV per formula unit

a = 6.598 Å, b = 6.598 Å, c = 5.349 Å
α = 90.00°, β = 90.00°, γ = 90.00°
Space group I-42d (No. 122)
Inequivalent atoms, fractional coordinates:
Mn  0.000  0.000  0.000 [4 per cell]
H  0.003  0.250  0.125 [8 per cell]
Br  0.000  0.000  0.500 [4 per cell]

=====

[17]
Entry from Alexandria via LeMat-Bulk: Er2CdGa2Pt5 after structural relaxation (PBE).

Summary:
size of the total moment = 0.000 μB/atom
calculated formation energy = -0.83 eV per atom
Fermi-level density of states = 9.1 states/eV per cell
raw total energy = -54.6 eV per formula unit

a = 9.697 Å, b = 9.697 Å, c = 3.847 Å
α = 90.00°, β = 90.00°, γ = 90.00°
Space group P4/mbm (No. 127)
Inequivalent atoms, fractional coordinates:
Er  0.176  0.324  0.000 [4 per cell]
Cd  0.000  0.000  0.000 [2 per cell]
Ga  0.123  0.623  0.000 [4 per cell]
Pt  0.000  0.500  0.500 [2 per cell]
Pt  0.068  0.790  0.500 [8 per cell]

=====

[18]
Entry from Alexandria via LeMat-Bulk: Cs6TaI12 after structural relaxation (PBE).

Summary:
size of the total moment = 0.000 μB/atom
raw formation energy = -24.01 kcal/mol of atoms
Fermi-level density of states = 74.0 states/eV per cell
raw total energy = -55.4 eV per formula unit

a = 14.7809 Å, b = 14.7809 Å, c = 20.1929 Å
α = 90.00°, β = 90.00°, γ = 120.00°
Space group R-3 (No. 148, hexagonal axes)
Inequivalent atoms, fractional coordinates:
Cs  0.0195  0.2799  0.2409 [18 per cell]
Ta  0.0000  0.0000  0.5000 [3 per cell]
I  0.0161  0.2565  0.7441 [18 per cell]
I  0.0628  0.8880  0.5788 [18 per cell]

=====

[19]
Entry from Alexandria via LeMat-Bulk: TaAg2Sb after structural relaxation (PBE).

Summary:
size of the total moment = 0.000 μB/atom
raw formation energy = 8.11 kcal/mol of atoms
Fermi-level density of states = 2.6 states/eV per cell
raw total energy = -20.3 eV per formula unit

a = 3.008 Å, b = 4.807 Å, c = 5.575 Å
α = 90.00°, β = 103.25°, γ = 90.00°
Space group P2/m (No. 10)
Inequivalent atoms, fractional coordinates:
Ta  0.000  0.000  0.000 [1 per cell]
Ag  0.370  0.500  0.755 [2 per cell]
Sb  0.500  0.000  0.500 [1 per cell]

=====

[20]
Entry from Alexandria via LeMat-Bulk: La6Nd2In3 after structural relaxation (PBE).

Summary:
size of the total moment = 0.000 μB/atom
calculated formation energy = 0.09 eV per atom
Fermi-level density of states = 25.3 states/eV per cell
raw total energy = -46.4 eV per formula unit

a = 5.430 Å, b = 5.430 Å, c = 26.149 Å
α = 90.00°, β = 90.00°, γ = 90.00°
Space group I4/mmm (No. 139)
Inequivalent atoms, fractional coordinates:
La  0.000  0.000  0.201 [4 per cell]
La  0.000  0.500  0.100 [8 per cell]
Nd  0.000  0.000  0.055 [4 per cell]
In  0.000  0.000  0.324 [4 per cell]
In  0.000  0.000  0.500 [2 per cell]

=====

[21]
Entry from Alexandria via LeMat-Bulk: La5Sb2Ru after structural relaxation (PBE).

Summary:
size of the total moment = 0.000 μB/atom
raw formation energy = -12.72 kcal/mol of atoms
Fermi-level density of states = 16.4 states/eV per cell
distance to the lowest polymorph of the same formula = 0.279 eV/atom
raw total energy = -46.6 eV per formula unit

a = 7.611 Å, b = 7.611 Å, c = 8.753 Å
α = 90.00°, β = 90.00°, γ = 90.00°
Space group I4mm (No. 107)
Inequivalent atoms, fractional coordinates:
La  0.000  0.000  0.000 [2 per cell]
La  0.249  0.249  0.229 [8 per cell]
Sb  0.000  0.500  0.481 [4 per cell]
Ru  0.000  0.000  0.689 [2 per cell]

=====

[22]
Entry from Alexandria via LeMat-Bulk: BeAl2CrN after structural relaxation (PBE).

Summary:
size of the total moment = 1.054 μB/atom
raw formation energy = 41.35 kcal/mol of atoms
Fermi-level density of states = 3.6 states/eV per cell
raw total energy = -20.2 eV per formula unit

a = 4.823 Å, b = 4.823 Å, c = 4.223 Å
α = 90.00°, β = 90.00°, γ = 90.00°
Space group P4/mmm (No. 123)
Inequivalent atoms, fractional coordinates:
Be  0.000  0.000  0.000 [1 per cell]
Al  0.000  0.500  0.500 [2 per cell]
Cr  0.000  0.000  0.500 [1 per cell]
N  0.500  0.500  0.000 [1 per cell]

=====

[23]
Entry from Alexandria via LeMat-Bulk: NaLaC2S after structural relaxation (PBE).

Summary:
size of the total moment = 0.000 μB/atom
raw formation energy = 37.91 kcal/mol of atoms
Fermi-level density of states = 1.9 states/eV per cell
raw total energy = -20.6 eV per formula unit

a = 4.225 Å, b = 4.225 Å, c = 5.084 Å
α = 90.00°, β = 90.00°, γ = 90.00°
Space group P4/mmm (No. 123)
Inequivalent atoms, fractional coordinates:
Na  0.000  0.000  0.000 [1 per cell]
La  0.500  0.500  0.000 [1 per cell]
C  0.000  0.500  0.500 [2 per cell]
S  0.500  0.500  0.500 [1 per cell]

=====

[24]
Entry from Alexandria via LeMat-Bulk: MoPb2 after structural relaxation (PBE).

Summary:
size of the total moment = 0.000 μB/atom
calculated formation energy = 0.56 eV per atom
Fermi-level density of states = 8.3 states/eV per cell
distance to the lowest polymorph of the same formula = 0.166 eV/atom
raw total energy = -16.6 eV per formula unit

a = 3.240 Å, b = 18.247 Å, c = 5.107 Å
α = 90.00°, β = 90.00°, γ = 90.00°
Space group Cmcm (No. 63)
Inequivalent atoms, fractional coordinates:
Mo  0.000  0.221  0.250 [4 per cell]
Pb  0.000  0.148  0.750 [4 per cell]
Pb  0.000  0.424  0.750 [4 per cell]

=====

[25]
Entry from Alexandria via LeMat-Bulk: LiSnAsPd after structural relaxation (PBE).

Summary:
size of the total moment = 0.000 μB/atom
calculated formation energy = -0.36 eV per atom
Fermi-level density of states = 7.8 states/eV per cell
raw total energy = -17.2 eV per formula unit

a = 6.589 Å, b = 6.589 Å, c = 6.589 Å
α = 90.00°, β = 90.00°, γ = 90.00°
Space group F-43m (No. 216)
Inequivalent atoms, fractional coordinates:
Li  0.000  0.000  0.000 [4 per cell]
Sn  0.250  0.250  0.250 [4 per cell]
As  0.250  0.250  0.750 [4 per cell]
Pd  0.000  0.000  0.500 [4 per cell]